Material: AcErCd6
Method: DFT, PBE
State: relaxed

The calculation puts the energy of formation from the pure elements at -0.237 eV per atom. Its total energy is -2.01 eV/atom. The total magnetic moment comes out at 0.0000 μB per atom.

It has space group Amm2 (No. 38), with a = 4.961 Å, b = 7.416 Å, c = 11.313 Å, α = 90.00°, β = 90.00° and γ = 90.00°. The distinct sites, in fractional coordinates, are Ac at (0.000, 0.000, 0.000), Er at (0.500, 0.000, 0.724), Cd at (0.000, 0.000, 0.544), Cd at (0.000, 0.216, 0.268), Cd at (0.500, 0.000, 0.203) and Cd at (0.500, 0.204, 0.453).

Material: OsPb2W
Method: DFT, PBE
State: relaxed

The calculation puts the energy of formation from the pure elements at 1.212 eV per atom. Its total energy is -6.69 eV/atom. The total magnetic moment comes out at 0.0010 μB per atom.

It has space group C2/m (No. 12), with a = 9.349 Å, b = 3.121 Å, c = 5.566 Å, α = 90.00°, β = 103.04° and γ = 90.00°. The distinct sites, in fractional coordinates, are Os at (0.000, 0.000, 0.000), Pb at (0.245, 0.500, 0.245) and W at (0.000, 0.500, 0.500).

Material: Ac2La
Method: DFT, PBE
State: relaxed

The calculation puts the energy of formation from the pure elements at 0.107 eV per atom. Its total energy is -4.27 eV/atom. The total magnetic moment comes out at 0.0001 μB per atom.

It has space group Fmmm (No. 69), with a = 6.508 Å, b = 6.511 Å, c = 12.023 Å, α = 90.00°, β = 90.00° and γ = 90.00°. The distinct sites, in fractional coordinates, are Ac at (0.000, 0.000, 0.160) and La at (0.000, 0.000, 0.500).

Material: AsPbO3
Method: DFT, PBE
State: relaxed

The calculation puts the formation energy from raw total energies at 0.04 eV per atom. Its total energy is -4.61 eV/atom. The total magnetic moment comes out at 0.0000 μB per atom.

It has space group Pm-3m (No. 221), with a = 4.193 Å, b = 4.193 Å, c = 4.193 Å, α = 90.00°, β = 90.00° and γ = 90.00°. The distinct sites, in fractional coordinates, are As at (0.000, 0.000, 0.000), Pb at (0.500, 0.500, 0.500) and O at (0.000, 0.500, 0.500).